[1]
First-principles (GGA-PBE) data for an optimized crystal structure of NaTl2BiSb, as listed in Alexandria via LeMat-Bulk.

Output
The calculation puts the uncorrected formation energy at 0.32 eV/atom. As for the space group: P4/mmm, No. 123. The total magnetization comes out at 0.0 Bohr magnetons per cell.

abc: 6.045 6.033 6.045
angles: 90.00 90.00 90.00
Fractional positions:
Sb (0.000, 0.500, 0.000)
Tl (0.000, 0.000, 0.500)
Tl (0.500, 0.000, 0.000)
Bi (0.000, 0.000, 0.000)
Na (0.500, 0.500, 0.500)

[2]
First-principles (GGA-PBE) data for an optimized crystal structure of CrIn2As, as listed in Alexandria via LeMat-Bulk.

Output
The calculation puts the formation energy at 279 meV per atom. As for the space group: I-4m2, No. 119. The total magnetization comes out at 3.6 Bohr magnetons per cell.

abc: 5.429 5.429 5.429
angles: 133.14 133.14 68.43
Fractional positions:
As (0.500, 0.500, 0.000)
Cr (0.750, 0.250, 0.500)
In (0.000, 0.000, 0.000)
In (0.250, 0.750, 0.500)

Number 1: mass density 5.7 g/cm³. Number 2: mass density 7.1 g/cm³.